(1)
VASP calculation (GGA-PBE) on ZrSnAu3 after structural relaxation.

Output
- Space group: Pm-3m, No. 221
- VASP energy: -3.912 eV/atom

Unit cell a=5.2407 b=5.2407 c=5.2407 alpha=90.00 beta=90.00 gamma=90.00
Closest atoms and distances in Å follow each position.
Atoms (fractional coordinates):
Zr 0.0000 0.0000 0.0000  6 Au 2.62
Sn 0.5000 0.5000 0.5000  12 Au 3.71
Au 0.0000 0.0000 0.5000  2 Zr 2.62
Au 0.0000 0.5000 0.0000  2 Zr 2.62
Au 0.5000 0.0000 0.0000  2 Zr 2.62

=====

(2)
VASP calculation (GGA-PBE) on Zr6Sn2Au after structural relaxation.

Output
- Space group: P4_2/mnm, No. 136
- VASP energy: -7.341 eV/atom

Unit cell a=9.5375 b=9.5375 c=4.4135 alpha=90.00 beta=90.00 gamma=90.00
Closest atoms and distances in Å follow each position.
Atoms (fractional coordinates):
Zr 0.0159 0.3286 0.0000  3 Sn 3.07-3.08, 1 Au 3.14, 8 Zr 3.20-3.28
Zr 0.1424 0.8576 0.5000  2 Au 2.93, 4 Sn 3.12-3.25, 6 Zr 3.21-3.27
Zr 0.1714 0.5159 0.5000  3 Sn 3.07-3.08, 1 Au 3.14, 8 Zr 3.20-3.28
Zr 0.3286 0.0159 0.0000  3 Sn 3.07-3.08, 1 Au 3.14, 8 Zr 3.20-3.28
Zr 0.3576 0.3576 0.0000  2 Au 2.93, 4 Sn 3.12-3.25, 6 Zr 3.21-3.27
Zr 0.4841 0.8286 0.5000  3 Sn 3.07-3.08, 1 Au 3.14, 8 Zr 3.20-3.28
Zr 0.5159 0.1714 0.5000  3 Sn 3.07-3.08, 1 Au 3.14, 8 Zr 3.20-3.28
Zr 0.6424 0.6424 0.0000  2 Au 2.93, 4 Sn 3.12-3.25, 6 Zr 3.21-3.27
Zr 0.6714 0.9841 0.0000  3 Sn 3.07-3.08, 1 Au 3.14, 8 Zr 3.20-3.28
Zr 0.8286 0.4841 0.5000  3 Sn 3.07-3.08, 1 Au 3.14, 8 Zr 3.20-3.28
Zr 0.8576 0.1424 0.5000  2 Au 2.93, 4 Sn 3.12-3.25, 6 Zr 3.21-3.27
Zr 0.9841 0.6714 0.0000  3 Sn 3.07-3.08, 1 Au 3.14, 8 Zr 3.20-3.28
Sn 0.1940 0.1940 0.5000  10 Zr 3.07-3.25, 2 Au 3.42
Sn 0.3060 0.6940 0.0000  10 Zr 3.07-3.25, 2 Au 3.42
Sn 0.6940 0.3060 0.0000  10 Zr 3.07-3.25, 2 Au 3.42
Sn 0.8060 0.8060 0.5000  10 Zr 3.07-3.25, 2 Au 3.42
Au 0.0000 0.0000 0.0000  8 Zr 2.93-3.14
Au 0.5000 0.5000 0.5000  8 Zr 2.93-3.14

=====

Look up the VASP energy of the first one.
-3.912 eV/atom